VASP calculation (PBE) on crystalline CePuInCu at its relaxed geometry.

```
data_CePuInCu
_chemical_formula_sum 'Ce1 Pu1 In1 Cu1'
_cell_length_a 5.042
_cell_length_b 5.042
_cell_length_c 5.042
_cell_angle_alpha 60.00
_cell_angle_beta 60.00
_cell_angle_gamma 60.00
_space_group_name_H-M_alt 'P 1'
_space_group_IT_number 1
loop_
_space_group_symop_operation_xyz
'x,y,z'
loop_
_atom_site_label
_atom_site_type_symbol
_atom_site_fract_x
_atom_site_fract_y
_atom_site_fract_z
Ce1 Ce 0.000 0.000 0.000
In1 In 0.500 0.500 0.500
Cu1 Cu 0.250 0.250 0.250
Pu1 Pu 0.750 0.750 0.750
```

Crystal system: cubic
Formation enthalpy at 0 K in eV/atom: -0.016
DFT total energy in eV per atom: -6.79



VASP calculation (PBE) on crystalline CeInCuRh at its relaxed geometry.

```
data_CeInCuRh
_chemical_formula_sum 'Ce1 In1 Cu1 Rh1'
_cell_length_a 4.792
_cell_length_b 4.792
_cell_length_c 4.792
_cell_angle_alpha 60.00
_cell_angle_beta 60.00
_cell_angle_gamma 60.00
_space_group_name_H-M_alt 'P 1'
_space_group_IT_number 1
loop_
_space_group_symop_operation_xyz
'x,y,z'
loop_
_atom_site_label
_atom_site_type_symbol
_atom_site_fract_x
_atom_site_fract_y
_atom_site_fract_z
Ce1 Ce 0.750 0.750 0.750
Cu1 Cu 0.000 0.000 0.000
In1 In 0.250 0.250 0.250
Rh1 Rh 0.500 0.500 0.500
```

Crystal system: cubic
Formation enthalpy at 0 K in eV/atom: -0.390
DFT total energy in eV per atom: -5.42



VASP calculation (PBE) on crystalline CeInCuRu at its relaxed geometry.

```
data_CeInCuRu
_chemical_formula_sum 'Ce1 In1 Cu1 Ru1'
_cell_length_a 4.768
_cell_length_b 4.768
_cell_length_c 4.768
_cell_angle_alpha 60.00
_cell_angle_beta 60.00
_cell_angle_gamma 60.00
_space_group_name_H-M_alt 'P 1'
_space_group_IT_number 1
loop_
_space_group_symop_operation_xyz
'x,y,z'
loop_
_atom_site_label
_atom_site_type_symbol
_atom_site_fract_x
_atom_site_fract_y
_atom_site_fract_z
Ru1 Ru 0.750 0.750 0.750
In1 In 0.000 0.000 0.000
Ce1 Ce 0.500 0.500 0.500
Cu1 Cu 0.250 0.250 0.250
```

Crystal system: cubic
Formation enthalpy at 0 K in eV/atom: -0.143
DFT total energy in eV per atom: -5.65



VASP calculation (PBE) on crystalline CeScInCu at its relaxed geometry.

```
data_CeScInCu
_chemical_formula_sum 'Ce1 Sc1 In1 Cu1'
_cell_length_a 5.089
_cell_length_b 5.089
_cell_length_c 5.089
_cell_angle_alpha 60.00
_cell_angle_beta 60.00
_cell_angle_gamma 60.00
_space_group_name_H-M_alt 'P 1'
_space_group_IT_number 1
loop_
_space_group_symop_operation_xyz
'x,y,z'
loop_
_atom_site_label
_atom_site_type_symbol
_atom_site_fract_x
_atom_site_fract_y
_atom_site_fract_z
Ce1 Ce 0.000 0.000 0.000
Cu1 Cu 0.250 0.250 0.250
In1 In 0.750 0.750 0.750
Sc1 Sc 0.500 0.500 0.500
```

Crystal system: cubic
Formation enthalpy at 0 K in eV/atom: -0.174
DFT total energy in eV per atom: -4.95



VASP calculation (PBE) on crystalline CeZnInCu at its relaxed geometry.

```
data_CeZnInCu
_chemical_formula_sum 'Ce1 Zn1 In1 Cu1'
_cell_length_a 4.847
_cell_length_b 4.847
_cell_length_c 4.847
_cell_angle_alpha 60.00
_cell_angle_beta 60.00
_cell_angle_gamma 60.00
_space_group_name_H-M_alt 'P 1'
_space_group_IT_number 1
loop_
_space_group_symop_operation_xyz
'x,y,z'
loop_
_atom_site_label
_atom_site_type_symbol
_atom_site_fract_x
_atom_site_fract_y
_atom_site_fract_z
Cu1 Cu 0.250 0.250 0.250
Ce1 Ce 0.000 0.000 0.000
In1 In 0.500 0.500 0.500
Zn1 Zn 0.750 0.750 0.750
```

Crystal system: cubic
Formation enthalpy at 0 K in eV/atom: -0.285
DFT total energy in eV per atom: -3.80



VASP calculation (PBE) on crystalline CeCuIr at its relaxed geometry.

```
data_CeCuIr
_chemical_formula_sum 'Ce1 Cu1 Ir1'
_cell_length_a 3.834
_cell_length_b 3.834
_cell_length_c 5.443
_cell_angle_alpha 69.38
_cell_angle_beta 69.38
_cell_angle_gamma 60.00
_space_group_name_H-M_alt 'P 1'
_space_group_IT_number 1
loop_
_space_group_symop_operation_xyz
'x,y,z'
loop_
_atom_site_label
_atom_site_type_symbol
_atom_site_fract_x
_atom_site_fract_y
_atom_site_fract_z
Ce1 Ce 0.336 0.336 0.991
Cu1 Cu 0.536 0.536 0.391
Ir1 Ir 0.112 0.112 0.663
```

Excess energy over the best structure of this formula in the dataset in eV per atom: 0.4153
Crystal system: trigonal
Formation enthalpy at 0 K in eV/atom: -0.067
DFT total energy in eV per atom: -6.36



Number 1: N(E_F) 1.8452 states/eV per atom. Number 2: N(E_F) 1.1227 states/eV per atom. Number 3: N(E_F) 1.0921 states/eV per atom. Number 4: N(E_F) 2.3660 states/eV per atom. Number 5: N(E_F) 1.1744 states/eV per atom. Number 6: N(E_F) 0.7221 states/eV per atom.